# Sr4InRh | Alexandria | PBE-GGA | relaxed
data_Sr4InRh
_chemical_formula_sum 'Sr16 In4 Rh4'
_cell_length_a 9.6250
_cell_length_b 14.4165
_cell_length_c 6.6314
_cell_angle_alpha 90.00
_cell_angle_beta 109.92
_cell_angle_gamma 90.00
_symmetry_space_group_name_H-M 'C 1 2/c 1'
_symmetry_Int_Tables_number 15
_symmetry_space_group_name_Hall '-C 2yc'
loop_
_atom_site_label
_atom_site_type_symbol
_atom_site_fract_x
_atom_site_fract_y
_atom_site_fract_z
_atom_site_occupancy
Sr1 Sr 0.1099 0.1653 0.0538 1
Sr2 Sr 0.2136 0.4259 0.3652 1
In1 In 0.0000 0.3690 0.7500 1
Rh1 Rh 0.0000 0.0012 0.2500 1
# E_form (eV/atom): -0.286
# Final energy (eV/atom): -3.089
# M_tot (μB per formula unit): 0.00
# Distance to the lowest polymorph of the same formula (meV per atom): 0